## Pm2Ga6Cu (PBE)

Data for Pm2Ga6Cu after structural relaxation.

Unit cell a=6.2978 b=6.2978 c=6.2978 alpha=60.00 beta=60.00 gamma=60.00
Last column: nearest neighbours and their distance in Å.
Positions (direct):
Ga 0.7184 0.7184 0.2816  1 Cu 2.51, 4 Ga 2.75
Pm 0.7500 0.7500 0.7500  12 Ga 3.16
Ga 0.2816 0.2816 0.7184  1 Cu 2.51, 4 Ga 2.75
Ga 0.2816 0.7184 0.2816  1 Cu 2.51, 4 Ga 2.75
Ga 0.7184 0.2816 0.7184  1 Cu 2.51, 4 Ga 2.75
Pm 0.2500 0.2500 0.2500  12 Ga 3.16
Ga 0.2816 0.7184 0.7184  1 Cu 2.51, 4 Ga 2.75
Cu 0.0000 0.0000 0.0000  6 Ga 2.51
Ga 0.7184 0.2816 0.2816  1 Cu 2.51, 4 Ga 2.75

Results
E_tot   -36.174 eV per formula unit
Total moment   0.0 Bohr magnetons per cell
Offset from the most stable computed form   0.12 eV per formula unit
Symmetry   Fm-3m, No. 225
Energy relative to the elements   -491 meV/atom

---

## Fe4SiAs (PBE)

Data for Fe4SiAs after structural relaxation.

Unit cell a=4.7467 b=4.7467 c=4.7467 alpha=60.00 beta=60.00 gamma=60.00
Last column: nearest neighbours and their distance in Å.
Positions (direct):
Fe 0.3753 0.3753 0.3753  6 Fe 2.37-2.38
Fe 0.8741 0.3753 0.3753  6 Fe 2.37-2.38
Fe 0.3753 0.8741 0.3753  6 Fe 2.37-2.38
Fe 0.3753 0.3753 0.8741  6 Fe 2.37-2.38
Si 0.7500 0.7500 0.7500  12 Fe 2.78, 4 As 2.91
As 0.0000 0.0000 0.0000  12 Fe 2.78, 4 Si 2.91

Results
E_tot   -42.569 eV per formula unit
Formation energy without anion corrections   0.23 eV per atom
Total moment   7.1 Bohr magnetons per cell
Symmetry   F-43m, No. 216

---

## CaVBSe (PBE)

Data for CaVBSe after structural relaxation.

Unit cell a=3.2220 b=3.2403 c=6.6316 alpha=90.00 beta=103.95 gamma=90.00
Last column: nearest neighbours and their distance in Å.
Positions (direct):
V 0.1742 0.5000 0.3479  4 B 2.29, 2 Se 2.51
B 0.6624 0.0000 0.3230  4 V 2.29
Se 0.8227 0.5000 0.6474  2 V 2.51, 2 B 2.64
Ca 0.4575 0.0000 0.9193  1 B 2.60, 4 Se 2.88

Results
E_tot   -22.034 eV per formula unit
Formation energy without anion corrections   -0.19 eV per atom
Total moment   0.0 Bohr magnetons per cell
Offset from the most stable computed form   0.83 eV per formula unit
Symmetry   Pm, No. 6

---

## V2Ir2Rh (PBE)

Data for V2Ir2Rh after structural relaxation.

Unit cell a=3.9345 b=3.9345 c=5.9456 alpha=70.68 beta=70.68 gamma=90.00
Last column: nearest neighbours and their distance in Å.
Positions (direct):
Ir 0.3824 0.3824 0.2352  4 V 2.41, 1 Ir 2.47
V 0.7500 0.2500 0.5000  4 Ir 2.41
Ir 0.6176 0.6176 0.7648  4 V 2.41, 1 Ir 2.47
V 0.2500 0.7500 0.5000  4 Ir 2.41
Rh 0.0000 0.0000 0.0000  8 Ir 3.04, 8 V 3.28

Results
E_tot   -43.088 eV per formula unit
Total moment   0.0 Bohr magnetons per cell
Offset from the most stable computed form   1.87 eV per formula unit
Symmetry   I4/mmm, No. 139
Energy relative to the elements   44 meV/atom

---

## Sc2AgAuC (PBE)

Data for Sc2AgAuC after structural relaxation.

Unit cell a=4.5128 b=4.5128 c=4.2663 alpha=90.00 beta=90.00 gamma=90.00
Last column: nearest neighbours and their distance in Å.
Positions (direct):
Sc 0.5000 0.0000 0.0000  2 C 2.26
Sc 0.0000 0.5000 0.0000  2 C 2.26
Ag 0.0000 0.0000 0.5000  2 C 2.13
C 0.0000 0.0000 0.0000  2 Ag 2.13, 4 Sc 2.26
Au 0.5000 0.5000 0.5000  8 Sc 3.11, 4 Ag 3.19

Results
E_tot   -29.575 eV per formula unit
Total moment   0.0 Bohr magnetons per cell
Symmetry   P4/mmm, No. 123
Energy relative to the elements   -312 meV/atom

---

## DyZrPa2N6 (PBE)

Data for DyZrPa2N6 after structural relaxation.

Unit cell a=5.8626 b=5.8626 c=6.0162 alpha=60.84 beta=60.84 gamma=60.00
Last column: nearest neighbours and their distance in Å.
Positions (direct):
Pa 0.5245 0.5245 0.4266  6 N 2.29-2.30
N 0.9271 0.6182 0.2401  1 Zr 2.18, 2 Pa 2.29-2.32
N 0.1456 0.3984 0.7497  2 Pa 2.25-2.30, 1 Dy 2.32, 1 Zr 2.33
N 0.2146 0.9271 0.2401  1 Zr 2.18, 2 Pa 2.29-2.32
Zr 0.3063 0.3063 0.0812  6 N 2.18-2.33
N 0.3984 0.7064 0.7497  2 Pa 2.25-2.30, 1 Dy 2.32, 1 Zr 2.33
N 0.6182 0.2146 0.2401  1 Zr 2.18, 2 Pa 2.29-2.32
Dy 0.7987 0.7987 0.6038  6 N 2.32-2.52
Pa 0.0219 0.0219 0.9343  6 N 2.25-2.32
N 0.7064 0.1456 0.7497  2 Pa 2.25-2.30, 1 Dy 2.32, 1 Zr 2.33

Results
E_tot   -96.380 eV per formula unit
Formation energy without anion corrections   -1.43 eV per atom
Total moment   0.0 Bohr magnetons per cell
Symmetry   R3, No. 146

---

## SrY2HfCl (PBE)

Data for SrY2HfCl after structural relaxation.

Unit cell a=6.1010 b=5.0727 c=6.1010 alpha=90.00 beta=90.00 gamma=90.00
Last column: nearest neighbours and their distance in Å.
Positions (direct):
Cl 0.0000 0.5000 0.0000  2 Sr 2.54
Sr 0.0000 0.0000 0.0000  2 Cl 2.54
Hf 0.5000 0.5000 0.5000  8 Y 3.97, 4 Cl 4.31
Y 0.5000 0.0000 0.0000  2 Sr 3.05
Y 0.0000 0.0000 0.5000  2 Sr 3.05

Results
E_tot   -21.283 eV per formula unit
Formation energy without anion corrections   1.03 eV per atom
Total moment   3.0 Bohr magnetons per cell
Symmetry   P4/mmm, No. 123

---

## LiCu2Ni (PBE)

Data for LiCu2Ni after structural relaxation.

Unit cell a=2.4773 b=2.4773 c=8.3911 alpha=90.00 beta=90.00 gamma=112.74
Last column: nearest neighbours and their distance in Å.
Positions (direct):
Ni 0.5000 0.5000 0.7500  4 Cu 2.46, 6 Ni 2.48-2.74
Li 0.5000 0.5000 0.2500  6 Li 2.48-2.74, 4 Cu 2.55
Cu 0.0000 0.0000 0.5061  2 Ni 2.46, 6 Cu 2.48-2.74, 2 Li 2.55
Cu 0.0000 0.0000 0.9939  2 Ni 2.46, 6 Cu 2.48-2.74, 2 Li 2.55

Results
E_tot   -15.769 eV per formula unit
Total moment   0.0 Bohr magnetons per cell
Offset from the most stable computed form   0.30 eV per formula unit
Symmetry   Cmmm, No. 65
Energy relative to the elements   30 meV/atom